(1)
A plane-wave DFT calculation with PBE-GGA was carried out for crystalline Li2CaCo at its relaxed geometry.

Unit cell a=9.1655 b=9.1655 c=9.1655 alpha=20.96 beta=20.96 gamma=20.96
Atoms (fractional coordinates):
Co1 0.2579 0.2579 0.2579
Ca1 0.5153 0.5153 0.5153
Li1 0.7402 0.7402 0.7402
Li2 0.9866 0.9866 0.9866

---

(2)
A plane-wave DFT calculation with PBE-GGA was carried out for crystalline Li2CaCo at its relaxed geometry.

Unit cell a=9.4721 b=9.4721 c=9.4721 alpha=19.84 beta=19.84 gamma=19.84
Atoms (fractional coordinates):
Li1 0.5193 0.5193 0.5193
Li2 0.9807 0.9807 0.9807
Co1 0.2500 0.2500 0.2500
Ca1 0.7500 0.7500 0.7500

---

(3)
A plane-wave DFT calculation with PBE-GGA was carried out for crystalline Li2CaCo at its relaxed geometry.

Unit cell a=5.9703 b=5.9703 c=4.8309 alpha=66.29 beta=66.29 gamma=30.33
Atoms (fractional coordinates):
Ca1 0.7500 0.7500 0.7500
Co1 0.2500 0.2500 0.2500
Li1 0.5437 0.5437 0.4556
Li2 0.9563 0.9563 0.0444

---

(4)
A plane-wave DFT calculation with PBE-GGA was carried out for crystalline LiCaCo3 at its relaxed geometry.

Unit cell a=4.2135 b=4.2135 c=4.2135 alpha=90.00 beta=90.00 gamma=90.00
Atoms (fractional coordinates):
Ca1 0.5000 0.5000 0.5000
Co1 0.0000 0.5000 0.0000
Co2 0.5000 0.0000 0.0000
Co3 0.0000 0.0000 0.5000
Li1 0.0000 0.0000 0.0000

---

(5)
A plane-wave DFT calculation with PBE-GGA was carried out for crystalline LiCaCo at its relaxed geometry.

Unit cell a=5.5444 b=5.5437 c=3.3674 alpha=72.33 beta=72.31 gamma=35.36
Atoms (fractional coordinates):
Li1 0.7071 0.7071 0.2929
Co1 0.3059 0.3059 0.6941
Ca1 0.9870 0.9870 0.0130

---

(6)
A plane-wave DFT calculation with PBE-GGA was carried out for crystalline LiCaCo2 at its relaxed geometry.

Unit cell a=4.5195 b=4.5195 c=4.5195 alpha=60.00 beta=60.00 gamma=60.00
Atoms (fractional coordinates):
Co1 0.2500 0.2500 0.2500
Co2 0.7500 0.7500 0.7500
Ca1 0.5000 0.5000 0.5000
Li1 0.0000 0.0000 0.0000

---

(7)
A plane-wave DFT calculation with PBE-GGA was carried out for crystalline LiCaCo2 at its relaxed geometry.

Unit cell a=5.1708 b=5.1708 c=5.1708 alpha=141.41 beta=133.28 gamma=62.15
Atoms (fractional coordinates):
Li1 0.7500 0.2500 0.5000
Ca1 0.2500 0.7500 0.5000
Co1 0.5066 0.5066 0.0000
Co2 0.9934 0.9934 0.0000

---

(8)
A plane-wave DFT calculation with PBE-GGA was carried out for crystalline LiCaCo2 at its relaxed geometry.

Unit cell a=3.2584 b=3.2584 c=6.2339 alpha=90.00 beta=90.00 gamma=90.00
Atoms (fractional coordinates):
Ca1 0.5000 0.5000 0.7500
Co1 0.0000 0.0000 0.4259
Co2 0.0000 0.0000 0.0741
Li1 0.5000 0.5000 0.2500

---

(9)
A plane-wave DFT calculation with PBE-GGA was carried out for crystalline Li2CaCo at its relaxed geometry.

Unit cell a=4.0981 b=4.0981 c=4.7058 alpha=90.00 beta=90.00 gamma=90.00
Atoms (fractional coordinates):
Co1 0.0000 0.5000 0.5000
Li1 0.0000 0.0000 0.0000
Li2 0.5000 0.5000 0.0000
Ca1 0.5000 0.0000 0.5000

---

(10)
A plane-wave DFT calculation with PBE-GGA was carried out for crystalline LiCaCo2 at its relaxed geometry.

Unit cell a=4.0373 b=4.0373 c=9.2723 alpha=77.43 beta=77.43 gamma=90.00
Atoms (fractional coordinates):
Co1 0.3750 0.7475 0.7500
Co2 0.4975 0.6250 0.2500
Co3 0.8750 0.5025 0.7500
Co4 0.2525 0.1250 0.2500
Li1 0.2500 0.7500 0.5000
Li2 0.5000 0.5000 0.0000
Ca1 0.0000 0.0000 0.0000
Ca2 0.7500 0.2500 0.5000

---

(11)
A plane-wave DFT calculation with PBE-GGA was carried out for crystalline Li2CaCo at its relaxed geometry.

Unit cell a=4.6973 b=4.6973 c=4.6973 alpha=60.00 beta=60.00 gamma=60.00
Atoms (fractional coordinates):
Li1 0.7500 0.7500 0.7500
Li2 0.2500 0.2500 0.2500
Co1 0.5000 0.5000 0.5000
Ca1 0.0000 0.0000 0.0000

---

(12)
A plane-wave DFT calculation with PBE-GGA was carried out for crystalline LiCaCo at its relaxed geometry.

Unit cell a=3.3950 b=3.3950 c=6.5960 alpha=90.00 beta=90.00 gamma=120.00
Atoms (fractional coordinates):
Li1 0.3333 0.6667 0.5995
Ca1 0.0000 0.0000 0.0488
Co1 0.6667 0.3333 0.3517

---

no.,E_tot (eV per cell),offset from the most stable computed form (eV/atom),ΔH_f (0 K) (eV/atom)
1,-11.20,0.151,0.433
2,-10.65,0.289,0.571
3,-11.81,0.000,0.282
4,-21.24,0.000,0.799
5,-9.89,0.250,0.378
6,-15.59,0.502,0.633
7,-16.32,0.320,0.451
8,-16.43,0.294,0.424
9,-11.57,0.060,0.342
10,-31.88,0.416,0.547
11,-11.48,0.083,0.365
12,-9.32,0.439,0.568